Rb3In4Bi2 | the Alexandria database | PBE | relaxed; E = -2.54 eV/atom; symmetry = P-1, No. 2; crystal system = triclinic; formation energy = -139 meV/atom
1.0
5.631 0.003 -0.007
2.817 6.963 -0.149
2.806 2.477 9.211
Rb In Bi
3 4 2
direct
0.625 0.119 0.632
0.375 0.881 0.368
0.000 0.000 0.000
0.930 0.480 0.658
0.691 0.679 0.939
0.070 0.520 0.342
0.309 0.321 0.061
0.696 0.374 0.235
0.304 0.626 0.765